Here is an optimized crystal structure of Nd4ScCd3 from Alexandria. Energies are from PBE.

Calculated values
- M_tot (μB per cell) = 0.77
- SG = No. 47
- crystal system = orthorhombic
- volume (Å³ per cell) = 231
- formation energy (eV per atom) = -0.20

abc: 3.769 5.504 11.127
angles: 90.00 90.00 90.00
Fractional coordinates of all 8 atoms:
Cd 0.500 0.500 0.500
Cd 0.500 0.000 0.755
Cd 0.500 0.000 0.245
Sc 0.500 0.500 0.000
Nd 0.000 0.000 0.000
Nd 0.000 0.500 0.745
Nd 0.000 0.500 0.255
Nd 0.000 0.000 0.500


Here is an optimized crystal structure of Nd6ScCd from Alexandria. Energies are from PBE.

Calculated values
- M_tot (μB per cell) = 0.00
- SG = No. 2
- crystal system = triclinic
- relative energy among the computed polymorphs (meV/atom) = 415
- volume (Å³ per cell) = 303
- formation energy (eV per atom) = 0.38

abc: 6.507 6.519 9.077
angles: 68.84 69.04 60.01
Fractional coordinates of all 8 atoms:
Nd 0.566 0.192 0.290
Nd 0.434 0.808 0.710
Nd 0.192 0.956 0.290
Nd 0.808 0.044 0.710
Nd 0.954 0.566 0.291
Nd 0.046 0.434 0.709
Sc 0.500 0.500 0.500
Cd 0.000 0.000 0.000


Here is an optimized crystal structure of Nd4ScCd2 from Alexandria. Energies are from PBE.

Calculated values
- M_tot (μB per cell) = 0.00
- SG = No. 166
- crystal system = trigonal
- volume (Å³ per cell) = 232
- formation energy (eV per atom) = 0.08

abc: 5.552 5.552 9.260
angles: 72.55 72.55 60.00
Fractional coordinates of all 7 atoms:
Nd 0.733 0.733 0.801
Nd 0.130 0.130 0.610
Nd 0.870 0.870 0.390
Nd 0.267 0.267 0.199
Cd 0.611 0.611 0.167
Cd 0.389 0.389 0.833
Sc 0.500 0.500 0.500


Here is an optimized crystal structure of Nd8Sc2Cd from Alexandria. Energies are from PBE.

Calculated values
- M_tot (μB per cell) = 0.00
- SG = No. 12
- crystal system = monoclinic
- volume (Å³ per cell) = 349
- formation energy (eV per atom) = -0.01

abc: 5.039 7.986 9.352
angles: 105.26 105.63 90.00
Fractional coordinates of all 11 atoms:
Nd 0.682 0.912 0.363
Nd 0.595 0.449 0.189
Nd 0.139 0.188 0.277
Nd 0.861 0.812 0.723
Nd 0.318 0.088 0.637
Nd 0.048 0.725 0.095
Nd 0.405 0.551 0.811
Nd 0.952 0.275 0.905
Sc 0.226 0.631 0.451
Sc 0.774 0.369 0.549
Cd 0.500 0.000 0.000